Pm2MgTe: optimized geometry, PBE-GGA.

Summary:
formation energy (no corrections) = -0.476 eV per atom
calculated density = 6.38 g/cm3
ΔE to the lowest computed polymorph = 194 meV per atom
DFT total energy = -16.143 eV/f.u.
DOS(E_F) = 1.398 states/eV per atom

POSCAR file:
```
Pm2MgTe
1.0
0.0000 3.8601 3.8601
3.8601 0.0000 3.8601
3.8601 3.8601 0.0000
Pm Mg Te
2 1 1
direct
0.2500 0.2500 0.2500
0.7500 0.7500 0.7500
0.0000 0.0000 0.0000
0.5000 0.5000 0.5000
```

Li2BeNi: optimized geometry, PBE-GGA.

Summary:
calculated density = 2.93 g/cm3
DFT total energy = -12.536 eV/f.u.
DOS(E_F) = 0.574 states/eV per atom
formation energy = 200 meV/atom

POSCAR file:
```
Li2BeNi
1.0
2.4078 0.0000 0.0000
0.0000 2.4078 0.0000
0.0000 0.0000 7.9648
Li Be Ni
2 1 1
direct
0.0000 0.0000 0.2440
0.0000 0.0000 0.7560
0.5000 0.5000 0.5000
0.5000 0.5000 0.0000
```

Sr2Li2Sn3: optimized geometry, PBE-GGA.

Summary:
calculated density = 4.68 g/cm3
ΔE to the lowest computed polymorph = 78 meV per atom
DFT total energy = -22.398 eV/f.u.
DOS(E_F) = 0.608 states/eV per atom
formation energy = -457 meV/atom

POSCAR file:
```
Sr2Li2Sn3
1.0
5.6992 -2.3604 0.0000
5.6992 2.3604 0.0000
-3.2202 0.0000 7.1912
Sr Li Sn
2 2 3
direct
0.1478 0.1478 0.2728
0.8522 0.8522 0.7272
0.1332 0.1332 0.7354
0.8668 0.8668 0.2646
0.3849 0.3849 0.0544
0.5000 0.5000 0.5000
0.6151 0.6151 0.9456
```

HgRu: optimized geometry, PBE-GGA.

Summary:
calculated density = 13.28 g/cm3
DFT total energy = -8.202 eV/f.u.
DOS(E_F) = 1.315 states/eV per atom
formation energy = 688 meV/atom

POSCAR file:
```
HgRu
1.0
0.0000 4.0299 7.3136
2.5605 0.0000 7.3136
2.5605 4.0299 0.0000
Hg Ru
4 4
direct
0.0438 0.7062 0.0438
0.2938 0.9562 0.2938
0.7062 0.0438 0.7062
0.9562 0.2938 0.9562
0.2914 0.2914 0.4586
0.4586 0.4586 0.2914
0.5414 0.5414 0.7086
0.7086 0.7086 0.5414
```

RbBaNb: optimized geometry, PBE-GGA.

Summary:
calculated density = 3.90 g/cm3
ΔE to the lowest computed polymorph = 816 meV per atom
DFT total energy = -9.145 eV/f.u.
DOS(E_F) = 1.608 states/eV per atom
formation energy = 1272 meV/atom

POSCAR file:
```
RbBaNb
1.0
14.7720 0.0000 0.0000
0.0000 6.3577 0.0000
0.0000 0.0000 5.7257
Rb Ba Nb
4 4 4
direct
0.2313 0.2500 0.0046
0.2687 0.7500 0.5046
0.7313 0.2500 0.4954
0.7687 0.7500 0.9954
0.0000 0.0000 0.5000
0.0000 0.5000 0.5000
0.5000 0.0000 0.0000
0.5000 0.5000 0.0000
0.0156 0.7500 0.0001
0.4844 0.2500 0.5001
0.5156 0.7500 0.4999
0.9844 0.2500 0.9999
```

K2CuRe: optimized geometry, PBE-GGA.

Summary:
calculated density = 6.13 g/cm3
ΔE to the lowest computed polymorph = 639 meV per atom
DFT total energy = -12.570 eV/f.u.
DOS(E_F) = 0.840 states/eV per atom
formation energy = 1542 meV/atom

POSCAR file:
```
K2CuRe
1.0
-1.9992 1.9992 5.5531
1.9992 -1.9992 5.5531
1.9992 1.9992 -5.5531
K Cu Re
2 1 1
direct
0.2500 0.7500 0.5000
0.7500 0.2500 0.5000
0.0000 0.0000 0.0000
0.5000 0.5000 0.0000
```